DFT (PBE) results for a relaxed Nb3Ge4 crystal.

Cell and atoms, written as CIF:
```
data_Nb3Ge4
_cell_length_a 3.4520
_cell_length_b 3.4520
_cell_length_c 19.9236
_cell_angle_alpha 90.00
_cell_angle_beta 90.00
_cell_angle_gamma 90.00
_space_group_name_H-M_alt 'I 4/m m m'
_space_group_IT_number 139
_space_group_name_Hall '-I 4 2'
loop_
_atom_site_label
_atom_site_type_symbol
_atom_site_fract_x
_atom_site_fract_y
_atom_site_fract_z
Nb1 Nb 0.0000 0.0000 0.0000
Nb2 Nb 0.0000 0.0000 0.2876
Ge1 Ge 0.0000 0.0000 0.1454
Ge2 Ge 0.0000 0.0000 0.4305
```

As for the density of states at the Fermi level: 7.13 states/eV/cell. The total energy comes out at -101.23 eV per cell.